Record 1
Computed, not measured: an optimized crystal structure of AlVC at the GGA-PBE level of DFT.

Cell and atoms, written as extended XYZ:
```
3
Lattice="4.487 0.000 0.000 0.000 3.001 0.000 0.000 -1.500 2.599" Properties=species:S:1:pos:R:3 pbc="T T T"
Al 2.651 1.500 0.866
V 0.425 0.000 0.000
C 1.411 0.000 1.732
```

Energy above the lowest structure with this stoichiometry = 1.92 kcal/mol of atoms
Energy of formation = -0.064 eV/atom
Total moment = 0.0 μB/cell
Electronic total energy = -7.4256 eV/atom

Record 2
Computed, not measured: an optimized crystal structure of Na2SiRu at the GGA-PBE level of DFT.

Cell and atoms, written as extended XYZ:
```
8
Lattice="-6.023 -1.054 -5.207 4.277 -5.632 -3.807 -1.817 -5.030 -3.073" Properties=species:S:1:pos:R:3 pbc="T T T"
Si 0.793 -7.002 -5.694
Si -0.873 -3.343 -4.507
Na -3.680 -2.620 -4.495
Na -2.015 -6.283 -5.688
Na -2.894 -9.619 -10.190
Na 1.462 -4.910 -3.803
Ru 0.000 0.000 0.000
Ru -4.357 -4.713 -6.394
```

ΔE_f (raw) = 238 kJ/mol of formula units
Total moment = 0.0 μB/cell
Electronic total energy = -3.7175 eV/atom

Record 3
Computed, not measured: an optimized crystal structure of Li2ErHg8 at the GGA-PBE level of DFT.

Cell and atoms, written as extended XYZ:
```
11
Lattice="-3.340 -0.638 3.365 -3.722 -4.939 -4.630 7.139 -2.365 3.237" Properties=species:S:1:pos:R:3 pbc="T T T"
Li -0.385 -4.586 -1.251
Li 0.462 -3.355 3.223
Hg 3.280 -2.601 2.763
Hg -1.142 -1.527 -1.423
Hg -1.678 -3.339 1.103
Hg -3.203 -5.340 -0.790
Hg 1.146 -1.626 0.830
Hg 1.755 -4.603 0.870
Hg -1.069 -6.316 1.143
Hg 1.219 -6.415 3.395
Er -1.670 -0.319 1.683
```

Energy of formation = -0.241 eV/atom
Total moment = 0.0 μB/cell
Electronic total energy = -1.2229 eV/atom

Record 4
Computed, not measured: an optimized crystal structure of CeBePIr at the GGA-PBE level of DFT.

Cell and atoms, written as extended XYZ:
```
8
Lattice="4.056 0.000 0.000 0.000 4.056 0.000 0.000 0.000 8.406" Properties=species:S:1:pos:R:3 pbc="T T T"
Ce 0.000 2.028 6.634
Ce 2.028 0.000 1.773
Ir 2.028 2.028 4.203
Ir 0.000 0.000 4.203
Be 0.000 2.028 3.175
Be 2.028 0.000 5.231
P 0.000 2.028 1.063
P 2.028 0.000 7.343
```

Energy of formation = -0.907 eV/atom
Total moment = 0.3 μB/cell
Electronic total energy = -6.8902 eV/atom

Record 5
Computed, not measured: an optimized crystal structure of Nd3Tl3Zn at the GGA-PBE level of DFT.

Cell and atoms, written as extended XYZ:
```
14
Lattice="4.662 0.000 0.702 2.297 5.823 0.573 0.147 0.095 14.849" Properties=species:S:1:pos:R:3 pbc="T T T"
Tl 1.322 1.531 7.051
Tl 4.493 1.035 1.825
Tl 2.613 4.883 14.299
Tl 5.784 4.388 9.073
Tl 0.656 1.170 11.472
Tl 6.450 4.749 4.652
Nd 3.308 1.871 9.687
Nd 2.645 1.681 14.092
Nd 4.461 4.237 2.032
Nd 5.280 4.419 12.425
Nd 1.827 1.500 3.699
Nd 3.798 4.048 6.437
Zn 3.822 0.631 6.274
Zn 3.284 5.287 9.850
```

Energy of formation = -0.333 eV/atom
Total moment = 0.0 μB/cell
Electronic total energy = -3.5729 eV/atom

Record 6
Computed, not measured: an optimized crystal structure of Fe4NiAu at the GGA-PBE level of DFT.

Cell and atoms, written as extended XYZ:
```
6
Lattice="-2.177 -3.457 2.433 -4.662 0.292 0.888 -3.029 -2.921 -2.214" Properties=species:S:1:pos:R:3 pbc="T T T"
Fe -4.790 -4.006 1.627
Fe -5.214 -3.739 -0.686
Fe -6.027 -2.141 0.858
Fe -3.707 -2.286 0.416
Au 0.000 0.000 0.000
Ni -7.402 -4.564 0.831
```

Energy of formation = 0.171 eV/atom
Total moment = 9.6 μB/cell
Electronic total energy = -6.9803 eV/atom

Record 7
Computed, not measured: an optimized crystal structure of Cs2YGa at the GGA-PBE level of DFT.

Cell and atoms, written as extended XYZ:
```
4
Lattice="0.000 4.552 4.552 4.552 0.000 4.552 4.552 4.552 0.000" Properties=species:S:1:pos:R:3 pbc="T T T"
Ga 0.000 0.000 0.000
Cs 6.827 6.827 6.827
Cs 2.276 2.276 2.276
Y 4.552 4.552 4.552
```

Energy above the lowest structure with this stoichiometry = 8.01 kcal/mol of atoms
Energy of formation = 0.770 eV/atom
Total moment = 0.0 μB/cell
Electronic total energy = -2.0297 eV/atom

Record 8
Computed, not measured: an optimized crystal structure of CrNiCl4 at the GGA-PBE level of DFT.

Cell and atoms, written as extended XYZ:
```
6
Lattice="3.602 0.000 0.000 0.000 6.367 -0.483 0.000 0.023 6.021" Properties=species:S:1:pos:R:3 pbc="T T T"
Ni 0.000 0.000 0.000
Cl 1.801 1.330 1.050
Cl 0.000 1.379 4.029
Cl 0.000 5.011 1.510
Cl 1.801 5.060 4.489
Cr 1.801 0.011 3.011
```

ΔE_f (raw) = -438 kJ/mol of formula units
Total moment = 5.1 μB/cell
Electronic total energy = -4.5553 eV/atom

Record 9
Computed, not measured: an optimized crystal structure of LaTbSc6 at the GGA-PBE level of DFT.

Cell and atoms, written as extended XYZ:
```
8
Lattice="-0.847 3.017 -4.350 -2.228 -5.483 -3.368 -4.384 3.843 3.519" Properties=species:S:1:pos:R:3 pbc="T T T"
Sc -1.972 1.176 1.200
Sc -5.368 0.334 1.277
Sc -3.116 -1.639 -0.530
Sc -2.840 -3.159 -4.941
Sc -4.978 -1.283 -3.224
Sc -1.753 -0.484 -3.298
Tb -4.204 3.066 2.945
La -3.909 1.467 -1.525
```

Energy of formation = 0.043 eV/atom
Total moment = 0.0 μB/cell
Electronic total energy = -5.9000 eV/atom

Record 10
Computed, not measured: an optimized crystal structure of AcCd5Au7 at the GGA-PBE level of DFT.

Cell and atoms, written as extended XYZ:
```
13
Lattice="-0.444 -3.542 4.599 6.494 -0.554 3.885 -2.841 3.498 6.105" Properties=species:S:1:pos:R:3 pbc="T T T"
Ac -0.428 -3.517 4.620
Au 4.813 -1.724 6.507
Au 0.971 -1.302 6.460
Au 3.076 -2.802 9.193
Au -1.635 1.076 8.040
Au 0.866 -0.049 3.731
Au 2.276 0.763 8.177
Au -0.308 -1.333 9.998
Cd -1.604 -0.043 5.334
Cd 2.980 -2.033 4.244
Cd 3.201 -0.267 1.951
Cd 2.332 -0.568 10.842
Cd -1.382 1.722 3.041
```

Energy of formation = -0.275 eV/atom
Total moment = 0.0 μB/cell
Electronic total energy = -2.7072 eV/atom

Record 11
Computed, not measured: an optimized crystal structure of TaIrPt2 at the GGA-PBE level of DFT.

Cell and atoms, written as extended XYZ:
```
4
Lattice="-0.368 2.648 -1.072 -2.871 1.098 3.698 1.683 2.200 4.853" Properties=species:S:1:pos:R:3 pbc="T T T"
Ir 0.841 1.100 2.427
Pt -1.620 1.873 1.313
Pt 0.000 0.000 0.000
Ta -0.778 2.973 3.740
```

Energy above the lowest structure with this stoichiometry = 5.22 kcal/mol of atoms
Energy of formation = -0.406 eV/atom
Total moment = 0.0 μB/cell
Electronic total energy = -8.6050 eV/atom

Record 12
Computed, not measured: an optimized crystal structure of Ba2Ge2Sb at the GGA-PBE level of DFT.

Cell and atoms, written as extended XYZ:
```
5
Lattice="4.033 0.000 0.000 0.000 4.033 0.000 2.016 2.016 10.165" Properties=species:S:1:pos:R:3 pbc="T T T"
Ba 4.033 4.033 8.020
Ba 2.016 2.016 2.145
Ge 4.033 2.016 5.082
Ge 2.016 4.033 5.082
Sb 0.000 0.000 0.000
```

Energy above the lowest structure with this stoichiometry = 2.56 kcal/mol of atoms
ΔE_f (raw) = -223 kJ/mol of formula units
Total moment = 0.0 μB/cell
Electronic total energy = -3.9018 eV/atom

Record 13
Computed, not measured: an optimized crystal structure of SrReAsSe2 at the GGA-PBE level of DFT.

Cell and atoms, written as extended XYZ:
```
5
Lattice="5.189 0.000 0.000 0.000 5.189 0.000 0.000 0.000 4.717" Properties=species:S:1:pos:R:3 pbc="T T T"
As 0.000 0.000 2.359
Se 0.000 2.594 0.000
Se 2.594 0.000 0.000
Re 0.000 0.000 0.000
Sr 2.594 2.594 2.359
```

Energy above the lowest structure with this stoichiometry = 0.00 kcal/mol of atoms
ΔE_f (raw) = -134 kJ/mol of formula units
Total moment = 1.5 μB/cell
Electronic total energy = -5.4284 eV/atom

Record 14
Computed, not measured: an optimized crystal structure of Li2Pm2AlPd5 at the GGA-PBE level of DFT.

Cell and atoms, written as extended XYZ:
```
20
Lattice="3.581 0.000 0.000 0.000 9.787 0.000 0.000 0.000 9.787" Properties=species:S:1:pos:R:3 pbc="T T T"
Pm 0.000 3.157 8.051
Pm 0.000 6.630 1.736
Pm 0.000 1.736 3.157
Pm 0.000 8.051 6.630
Pd 1.791 4.290 2.926
Pd 1.791 4.893 0.000
Pd 1.791 0.604 7.819
Pd 1.791 7.819 9.183
Pd 1.791 5.497 6.861
Pd 1.791 6.861 4.290
Pd 1.791 9.183 1.967
Pd 1.791 1.967 0.604
Pd 1.791 0.000 4.893
Pd 1.791 2.926 5.497
Li 0.000 1.199 6.092
Li 0.000 6.092 8.588
Li 0.000 8.588 3.695
Li 0.000 3.695 1.199
Al 0.000 4.893 4.893
Al 0.000 0.000 0.000
```

Energy of formation = -0.679 eV/atom
Total moment = 0.0 μB/cell
Electronic total energy = -4.9828 eV/atom

Record 15
Computed, not measured: an optimized crystal structure of Sr2TaAsBr at the GGA-PBE level of DFT.

Cell and atoms, written as extended XYZ:
```
5
Lattice="6.122 0.000 0.000 0.000 4.787 0.000 0.000 0.000 6.122" Properties=species:S:1:pos:R:3 pbc="T T T"
Sr 3.061 0.000 0.000
Sr 0.000 0.000 3.061
As 3.061 2.394 3.061
Br 0.000 2.394 0.000
Ta 0.000 0.000 0.000
```

ΔE_f (raw) = 241 kJ/mol of formula units
Total moment = 0.0 μB/cell
Electronic total energy = -3.8075 eV/atom

Record 16
Computed, not measured: an optimized crystal structure of Cd7In3Hg at the GGA-PBE level of DFT.

Cell and atoms, written as extended XYZ:
```
11
Lattice="5.762 -0.148 -0.190 -2.763 7.225 0.174 -2.763 -1.583 7.052" Properties=species:S:1:pos:R:3 pbc="T T T"
Cd 0.148 0.962 1.231
Cd 0.176 1.425 6.460
Cd -2.763 2.821 3.613
Cd 0.060 -0.427 4.088
Cd 0.060 4.070 0.577
Cd 0.089 4.533 5.805
Cd 0.176 5.922 2.948
In -2.763 5.134 1.807
In -2.763 0.509 5.419
In 2.881 -0.074 -0.095
Hg 0.118 2.747 3.518
```

Energy of formation = 0.084 eV/atom
Total moment = 0.0 μB/cell
Electronic total energy = -1.2727 eV/atom

Record 17
Computed, not measured: an optimized crystal structure of ZrHgAs2Br at the GGA-PBE level of DFT.

Cell and atoms, written as extended XYZ:
```
5
Lattice="-0.619 5.044 0.210 -1.025 -0.332 4.971 5.296 0.603 1.132" Properties=species:S:1:pos:R:3 pbc="T T T"
As -0.512 -0.166 2.485
As -0.310 2.522 0.105
Br 2.648 0.301 0.566
Zr 1.826 2.657 3.156
Hg 0.000 0.000 0.000
```

Energy above the lowest structure with this stoichiometry = 21.00 kcal/mol of atoms
ΔE_f (raw) = 397 kJ/mol of formula units
Total moment = 0.8 μB/cell
Electronic total energy = -3.1409 eV/atom

Record 18
Computed, not measured: an optimized crystal structure of BiBSeN2 at the GGA-PBE level of DFT.

Cell and atoms, written as extended XYZ:
```
5
Lattice="-2.054 1.692 3.415 3.212 -1.320 2.586 2.743 5.026 -0.841" Properties=species:S:1:pos:R:3 pbc="T T T"
Bi 0.000 0.000 0.000
Se 1.371 2.513 -0.420
N -1.027 0.846 1.708
N 1.606 -0.660 1.293
B 1.950 2.699 2.580
```

Energy above the lowest structure with this stoichiometry = 19.77 kcal/mol of atoms
ΔE_f (raw) = 1140 kJ/mol of formula units
Total moment = 2.4 μB/cell
Electronic total energy = -3.7756 eV/atom

Record 19
Computed, not measured: an optimized crystal structure of InAsPbSe2 at the GGA-PBE level of DFT.

Cell and atoms, written as extended XYZ:
```
5
Lattice="5.667 0.000 0.000 0.000 5.667 0.000 0.000 0.000 5.424" Properties=species:S:1:pos:R:3 pbc="T T T"
In 0.000 0.000 0.000
Se 2.833 0.000 0.000
Se 0.000 2.833 0.000
Pb 2.833 2.833 2.712
As 0.000 0.000 2.712
```

Energy above the lowest structure with this stoichiometry = 0.00 kcal/mol of atoms
ΔE_f (raw) = 167 kJ/mol of formula units
Total moment = 0.9 μB/cell
Electronic total energy = -3.2672 eV/atom

Record 20
Computed, not measured: an optimized crystal structure of ScNi2PdC at the GGA-PBE level of DFT.

Cell and atoms, written as extended XYZ:
```
5
Lattice="3.801 0.000 0.000 0.000 3.801 0.000 0.000 0.000 4.445" Properties=species:S:1:pos:R:3 pbc="T T T"
Pd 1.900 1.900 2.222
Ni 0.000 1.900 0.000
Ni 1.900 0.000 0.000
C 0.000 0.000 0.000
Sc 0.000 0.000 2.222
```

Energy above the lowest structure with this stoichiometry = 0.00 kcal/mol of atoms
Energy of formation = -0.247 eV/atom
Total moment = 0.0 μB/cell
Electronic total energy = -6.7095 eV/atom

Let's list density in order: 4.27 3.75 11.78 8.94 9.17 10.46 3.74 3.04 4.38 12.66 20.07 5.44 6.62 8.35 4.73 7.69 6.14 5.00 5.29 7.26 Mg/m³.